a | This record from the Alexandria database describes a relaxed structure of ScVIO2. The functional is GGA+U.

Lattice parameters (Å, degrees): 4.0938 4.0938 5.8538 90.00 90.00 90.00
Last column: magnetic moment on the atom in μB.
Atoms (fractional coordinates):
O (0.5000, 0.0000, 0.0000)  -0.17
O (0.0000, 0.5000, 0.0000)  -0.17
Sc (0.0000, 0.0000, 0.0000)  0.03
V (0.5000, 0.5000, 0.5000)  3.02
I (0.0000, 0.0000, 0.5000)  -0.04

## Properties
Size of the total moment: 3.0 μB/cell

b | This record from the Alexandria database describes a relaxed structure of ScVIO2. The functional is GGA+U.

Lattice parameters (Å, degrees): 4.0192 4.0192 5.3471 90.00 90.00 90.00
Last column: magnetic moment on the atom in μB.
Atoms (fractional coordinates):
I (0.0000, 0.0000, 0.5000)  -0.01
O (0.5000, 0.0000, 0.0000)  -0.02
O (0.0000, 0.5000, 0.0000)  -0.02
Sc (0.5000, 0.5000, 0.5000)  0.31
V (0.0000, 0.0000, 0.0000)  1.86

## Properties
Size of the total moment: 2.4 μB/cell

Which of them is the most stable? Correct choice: a.

a | This record from the Alexandria database describes a relaxed structure of ScWIO2. The functional is GGA+U.

Lattice parameters (Å, degrees): 3.9982 3.9982 6.9120 90.00 90.00 90.00
Last column: magnetic moment on the atom in μB.
Atoms (fractional coordinates):
I (0.0000, 0.0000, 0.5000)  0.04
O (0.0000, 0.5000, 0.0000)  -0.08
O (0.5000, 0.0000, 0.0000)  -0.08
Sc (0.5000, 0.5000, 0.5000)  0.62
W (0.0000, 0.0000, 0.0000)  2.08

## Properties
Size of the total moment: 3.2 μB/cell

b | This record from the Alexandria database describes a relaxed structure of ScWIO2. The functional is GGA+U.

Lattice parameters (Å, degrees): 4.1338 4.1338 6.1123 90.00 90.00 90.00
Last column: magnetic moment on the atom in μB.
Atoms (fractional coordinates):
W (0.5000, 0.5000, 0.5000)  3.69
I (0.0000, 0.0000, 0.5000)  -0.01
Sc (0.0000, 0.0000, 0.0000)  -0.05
O (0.5000, 0.0000, 0.0000)  0.31
O (0.0000, 0.5000, 0.0000)  0.31

## Properties
Size of the total moment: 5.2 μB/cell

Which of them is the most stable? Correct choice: a.